# Ba2PdPbO6

An optimized crystal structure of Ba2PdPbO6 (PBE, the Alexandria database).

Values from the calculation:
ΔE_f (raw) (eV per atom): -1.48
E_tot (eV/cell): -114.6

Cell lengths 6.0452, 6.0452, 10.6633 Å; angles 73.53, 73.53, 60.00 degrees
Closest atoms and distances in Å follow each position.
Fractional coordinates of all 20 atoms:
Ba  0.8722  0.8722  0.3835  12 O 3.02-3.07
Ba  0.1278  0.1278  0.6165  12 O 3.02-3.07
Ba  0.7189  0.7189  0.8433  9 O 2.89-3.04
Ba  0.2811  0.2811  0.1567  9 O 2.89-3.04
Pd  0.0000  0.0000  0.0000  6 O 2.03
Pd  0.5000  0.5000  0.5000  6 O 2.05
Pb  0.5938  0.5938  0.2186  6 O 2.13-2.25
Pb  0.4062  0.4062  0.7814  6 O 2.13-2.25
O  0.8503  0.3875  0.3746  1 Pd 2.05, 1 Pb 2.25
O  0.3875  0.8503  0.3746  1 Pd 2.05, 1 Pb 2.25
O  0.3875  0.3875  0.3746  1 Pd 2.05, 1 Pb 2.25
O  0.1497  0.6125  0.6254  1 Pd 2.05, 1 Pb 2.25
O  0.6125  0.1497  0.6254  1 Pd 2.05, 1 Pb 2.25
O  0.6125  0.6125  0.6254  1 Pd 2.05, 1 Pb 2.25
O  0.7431  0.1923  0.8723  1 Pd 2.03, 1 Pb 2.13
O  0.1923  0.7431  0.8723  1 Pd 2.03, 1 Pb 2.13
O  0.1923  0.1923  0.8723  1 Pd 2.03, 1 Pb 2.13
O  0.2569  0.8077  0.1277  1 Pd 2.03, 1 Pb 2.13
O  0.8077  0.2569  0.1277  1 Pd 2.03, 1 Pb 2.13
O  0.8077  0.8077  0.1277  1 Pd 2.03, 1 Pb 2.13

***

# Ba2PdPbO4

An optimized crystal structure of Ba2PdPbO4 (PBE, the Alexandria database).

Values from the calculation:
ΔE_f (raw) (eV per atom): -1.56
E_tot (eV/cell): -45.0

Cell lengths 5.7965, 5.7965, 5.7965 Å; angles 104.14, 112.20, 112.20 degrees
Closest atoms and distances in Å follow each position.
Fractional coordinates of all 8 atoms:
Ba  0.5000  0.7500  0.2500  4 O 2.56
Ba  0.0000  0.0000  0.0000  8 O 2.76-3.09
Pd  0.5000  0.2500  0.7500  4 O 2.06
Pb  0.0000  0.5000  0.5000  4 O 2.58
O  0.5694  0.4877  0.5425  1 Pd 2.06
O  0.0548  0.0817  0.5123  1 Pd 2.06
O  0.9452  0.4575  0.0269  1 Pd 2.06
O  0.4306  0.9731  0.9183  1 Pd 2.06

***

# Ba6PdPb2O

An optimized crystal structure of Ba6PdPb2O (PBE, the Alexandria database).

Values from the calculation:
ΔE_f (raw) (eV per atom): -0.83
DOS at the Fermi energy (states/eV/atom): 0.11
E_tot (eV/cell): -74.9

Cell lengths 8.2427, 8.2429, 11.6560 Å; angles 90.00, 90.00, 90.00 degrees
Closest atoms and distances in Å follow each position.
Fractional coordinates of all 20 atoms:
Ba  0.5000  0.2493  0.2629  1 O 2.76, 1 Pd 3.06
Ba  0.5000  0.2493  0.7371  1 O 2.76, 1 Pd 3.06
Ba  0.0000  0.7507  0.2371  1 O 2.76, 1 Pd 3.06
Ba  0.0000  0.7507  0.7629  1 O 2.76, 1 Pd 3.06
Ba  0.2633  0.0117  0.5000  1 O 2.77, 1 Pd 3.06
Ba  0.7367  0.0117  0.5000  1 O 2.77, 1 Pd 3.06
Ba  0.2624  0.4859  0.5000  1 O 2.76, 1 Pd 3.06
Ba  0.7376  0.4859  0.5000  1 O 2.76, 1 Pd 3.06
Ba  0.7624  0.5141  0.0000  1 O 2.76, 1 Pd 3.06
Ba  0.2376  0.5141  0.0000  1 O 2.76, 1 Pd 3.06
Ba  0.2367  0.9883  0.0000  1 O 2.77, 1 Pd 3.06
Ba  0.7633  0.9883  0.0000  1 O 2.77, 1 Pd 3.06
Pd  0.0000  0.7493  0.5000  6 Ba 3.06
Pd  0.5000  0.2507  0.0000  6 Ba 3.06
Pb  0.5000  0.7500  0.2499  12 Ba 4.12-4.13
Pb  0.0000  0.2500  0.7499  12 Ba 4.12-4.13
Pb  0.5000  0.7500  0.7501  12 Ba 4.12-4.13
Pb  0.0000  0.2500  0.2501  12 Ba 4.12-4.13
O  0.5000  0.2495  0.5000  6 Ba 2.76-2.77
O  0.0000  0.7505  0.0000  6 Ba 2.76-2.77

***

# Ba2PmPbO5

An optimized crystal structure of Ba2PmPbO5 (PBE, the Alexandria database).

Values from the calculation:
ΔE_f (raw) (eV per atom): -2.31
DOS at the Fermi energy (states/eV/atom): 0.14
E_tot (eV/cell): -115.7

Cell lengths 3.7317, 7.9593, 11.6877 Å; angles 90.00, 90.00, 103.56 degrees
Closest atoms and distances in Å follow each position.
Fractional coordinates of all 18 atoms:
Ba  0.8645  0.7289  0.7791  6 O 2.76-2.87
Ba  0.1182  0.2364  0.7066  3 O 2.63-2.81
Ba  0.1355  0.2711  0.2791  6 O 2.76-2.87
Ba  0.8818  0.7636  0.2066  3 O 2.63-2.81
Pm  0.7782  0.5563  0.5035  6 O 2.30-2.50
Pm  0.2218  0.4437  0.0035  6 O 2.30-2.50
Pb  0.5145  0.0291  0.9739  4 O 2.19-2.27
Pb  0.4855  0.9709  0.4739  4 O 2.19-2.27
O  0.3704  0.7408  0.0080  1 Pb 2.27, 1 Pm 2.30
O  0.7013  0.4026  0.8752  2 Pm 2.41
O  0.4974  0.9949  0.7876  1 Pb 2.19
O  0.2802  0.5604  0.6376  2 Pm 2.44, 1 Ba 2.63
O  0.9354  0.8708  0.5524  2 Pb 2.22
O  0.6296  0.2592  0.5080  1 Pb 2.27, 1 Pm 2.30
O  0.2987  0.5974  0.3752  2 Pm 2.41
O  0.5026  0.0051  0.2876  1 Pb 2.19
O  0.7198  0.4396  0.1376  2 Pm 2.44, 1 Ba 2.63
O  0.0646  0.1292  0.0524  2 Pb 2.22

***

# Ba2PmPb2O6

An optimized crystal structure of Ba2PmPb2O6 (PBE, the Alexandria database).

Values from the calculation:
ΔE_f (raw) (eV per atom): -2.01
DOS at the Fermi energy (states/eV/atom): 0.39
E_tot (eV/cell): -67.9

Cell lengths 6.5562, 6.2470, 7.3365 Å; angles 113.65, 90.00, 121.65 degrees
Closest atoms and distances in Å follow each position.
Fractional coordinates of all 11 atoms:
Ba  0.7080  0.4159  0.1324  5 O 2.57-2.83
Ba  0.2920  0.5841  0.8676  5 O 2.57-2.83
Pm  0.5000  0.0000  0.5000  6 O 2.37-2.41
Pb  0.9276  0.8553  0.7558  3 O 2.15-2.23
Pb  0.0724  0.1447  0.2442  3 O 2.15-2.23
O  0.7198  0.4397  0.4907  1 Pb 2.15, 1 Pm 2.37
O  0.1791  0.8526  0.2258  1 Pb 2.23, 1 Pm 2.41
O  0.3266  0.1474  0.7742  1 Pb 2.23, 1 Pm 2.41
O  0.8209  0.1474  0.7742  1 Pb 2.23, 1 Pm 2.41
O  0.6734  0.8526  0.2258  1 Pb 2.23, 1 Pm 2.41
O  0.2802  0.5603  0.5093  1 Pb 2.15, 1 Pm 2.37

***

# Ba2PmPbO4

An optimized crystal structure of Ba2PmPbO4 (PBE, the Alexandria database).

Values from the calculation:
ΔE_f (raw) (eV per atom): -2.23
DOS at the Fermi energy (states/eV/atom): 0.12
E_tot (eV/cell): -50.0

Cell lengths 3.6393, 7.6580, 6.8416 Å; angles 120.58, 90.00, 90.00 degrees
Closest atoms and distances in Å follow each position.
Fractional coordinates of all 8 atoms:
Ba  0.5000  0.0000  0.5000  4 O 2.76
Ba  0.0000  0.5000  0.5000  6 O 2.71-2.73
Pm  0.5000  0.5000  0.0000  6 O 2.39-2.44
Pb  0.0000  0.0000  0.0000  4 O 2.63
O  0.5000  0.2873  0.1624  1 Pm 2.39, 2 Pb 2.63
O  0.5000  0.7127  0.8376  1 Pm 2.39, 2 Pb 2.63
O  0.0000  0.3073  0.7407  2 Pm 2.44, 1 Ba 2.71
O  0.0000  0.6927  0.2593  2 Pm 2.44, 1 Ba 2.71